(1)
# BaReHg2

A geometry-optimized BaReHg2 structure (PBE, the Alexandria database).

Calculated values
The value obtained for the density of states at the Fermi level is 3.811 states/eV/f.u. As for the formation energy: 0.698 eV/atom. As for the electronic total energy: -12.18 eV for the cell shown. Its offset from the most stable computed form is 111 meV/atom. The value obtained for the total magnetization is 0.0 μB per formula unit. The space-group type is C2/m (12). The theoretical density comes out at 11.82 Mg/m³.

Cell lengths 5.1636, 5.1636, 6.6821 Å; angles 98.38, 98.38, 35.32 degrees
Closest atoms and distances in Å follow each position.
Element x y z (fractional)
Ba 0.0000 0.0000 0.0000  2 Ba 3.13, 6 Hg 3.36-3.46
Re 0.5000 0.5000 0.5000  6 Hg 2.91-3.05, 2 Re 3.13
Hg 0.2349 0.2349 0.6852  3 Re 2.91-3.05, 4 Hg 2.98-3.13
Hg 0.7651 0.7651 0.3148  3 Re 2.91-3.05, 4 Hg 2.98-3.13

=====

(2)
# Cr2H3Ru2

A geometry-optimized Cr2H3Ru2 structure (PBE, the Alexandria database).

Calculated values
The value obtained for the density of states at the Fermi level is 5.131 states/eV/f.u. As for the electronic total energy: -47.71 eV for the cell shown. The value obtained for the total magnetization is 0.0 μB per formula unit. The space-group type is C2/m (12). The theoretical density comes out at 8.98 Mg/m³.

Cell lengths 4.7264, 4.7264, 4.7076 Å; angles 100.02, 100.02, 33.55 degrees
Closest atoms and distances in Å follow each position.
Element x y z (fractional)
Cr 0.1225 0.1225 0.3675  5 H 1.87-1.93
Cr 0.8775 0.8775 0.6325  5 H 1.87-1.93
H 0.2540 0.2540 0.7270  3 Cr 1.87-1.88, 3 Ru 2.02-2.03
H 0.5000 0.5000 0.5000  2 Ru 1.88, 4 Cr 1.93
H 0.7460 0.7460 0.2730  3 Cr 1.87-1.88, 3 Ru 2.02-2.03
Ru 0.3804 0.3804 0.1296  4 H 1.88-2.03
Ru 0.6196 0.6196 0.8704  4 H 1.88-2.03

=====

(3)
# NdPu2Pt

A geometry-optimized NdPu2Pt structure (PBE, the Alexandria database).

Calculated values
The value obtained for the density of states at the Fermi level is 14.907 states/eV/f.u. As for the formation energy: -0.282 eV/atom. As for the electronic total energy: -40.60 eV for the cell shown. Its offset from the most stable computed form is 0 meV/atom. The value obtained for the total magnetization is 11.6 μB per formula unit. The space-group type is P4/mmm (123). The theoretical density comes out at 13.09 Mg/m³.

Cell lengths 3.6819, 3.6819, 7.7402 Å; angles 90.00, 90.00, 90.00 degrees
Closest atoms and distances in Å follow each position.
Element x y z (fractional)
Nd 0.0000 0.0000 0.0000  8 Pu 3.50, 4 Nd 3.68, 2 Pt 3.87
Pu 0.5000 0.5000 0.3025  4 Pt 3.02, 1 Pu 3.06
Pu 0.5000 0.5000 0.6975  4 Pt 3.02, 1 Pu 3.06
Pt 0.0000 0.0000 0.5000  8 Pu 3.02

=====

(4)
# Sr2LiZn2Ni

A geometry-optimized Sr2LiZn2Ni structure (PBE, the Alexandria database).

Calculated values
The value obtained for the density of states at the Fermi level is 4.341 states/eV/f.u. As for the formation energy: -0.151 eV/atom. As for the electronic total energy: -29.02 eV for the cell shown. The value obtained for the total magnetization is 0.0 μB per formula unit. The space-group type is Ibam (72). The theoretical density comes out at 4.10 Mg/m³.

Cell lengths 8.4637, 8.4637, 8.4637 Å; angles 134.35, 65.89, 135.20 degrees
Closest atoms and distances in Å follow each position.
Element x y z (fractional)
Sr 0.1585 0.2352 0.3936  2 Ni 3.17, 4 Zn 3.24-3.41, 2 Li 3.27
Sr 0.3415 0.7352 0.0767  2 Ni 3.17, 4 Zn 3.24-3.41, 2 Li 3.27
Sr 0.6585 0.2648 0.9233  2 Ni 3.17, 4 Zn 3.24-3.41, 2 Li 3.27
Sr 0.8415 0.7648 0.6064  2 Ni 3.17, 4 Zn 3.24-3.41, 2 Li 3.27
Li 0.2500 0.7500 0.5000  4 Zn 2.67
Li 0.7500 0.2500 0.5000  4 Zn 2.67
Zn 0.0810 0.7715 0.8525  2 Ni 2.49, 2 Li 2.67
Zn 0.4190 0.2715 0.6905  2 Ni 2.49, 2 Li 2.67
Zn 0.5810 0.7285 0.3095  2 Ni 2.49, 2 Li 2.67
Zn 0.9190 0.2285 0.1475  2 Ni 2.49, 2 Li 2.67
Ni 0.2500 0.2500 0.0000  4 Zn 2.49
Ni 0.7500 0.7500 0.0000  4 Zn 2.49

=====

(5)
# TaAsPdSe2

A geometry-optimized TaAsPdSe2 structure (PBE, the Alexandria database).

Calculated values
The value obtained for the density of states at the Fermi level is 5.976 states/eV/f.u. As for the raw formation energy: 0.89 eV/atom. As for the electronic total energy: -24.20 eV for the cell shown. Its offset from the most stable computed form is 574 meV/atom. The value obtained for the total magnetization is 0.0 μB per formula unit. The space-group type is P4/mmm (123). The theoretical density comes out at 7.80 Mg/m³.

Cell lengths 4.8290, 4.8290, 4.7469 Å; angles 90.00, 90.00, 90.00 degrees
Closest atoms and distances in Å follow each position.
Element x y z (fractional)
Ta 0.0000 0.0000 0.0000  8 Se 3.39, 4 As 3.41
As 0.5000 0.5000 0.0000  2 Pd 2.37
Pd 0.5000 0.5000 0.5000  2 As 2.37, 4 Se 2.41
Se 0.0000 0.5000 0.5000  2 Pd 2.41
Se 0.5000 0.0000 0.5000  2 Pd 2.41

=====

(6)
# NaInBr4

A geometry-optimized NaInBr4 structure (PBE, the Alexandria database).

Calculated values
The value obtained for the density of states at the Fermi level is 0.000 states/eV/f.u. As for the raw formation energy: -1.06 eV/atom. As for the electronic total energy: -68.41 eV for the cell shown. Its offset from the most stable computed form is 0 meV/atom. The value obtained for the total magnetization is 0.0 μB per formula unit. The space-group type is P2_12_12_1 (19). The theoretical density comes out at 3.36 Mg/m³.

Cell lengths 6.8613, 11.2606, 11.7046 Å; angles 90.00, 90.00, 90.00 degrees
Closest atoms and distances in Å follow each position.
Element x y z (fractional)
Na 0.1169 0.0077 0.3591  5 Br 2.94-3.15
Na 0.3831 0.9923 0.8591  5 Br 2.94-3.15
Na 0.6169 0.4923 0.6409  5 Br 2.94-3.15
Na 0.8831 0.5077 0.1409  5 Br 2.94-3.15
In 0.0834 0.2476 0.7088  4 Br 2.55-2.57
In 0.4166 0.7524 0.2088  4 Br 2.55-2.57
In 0.5834 0.2524 0.2912  4 Br 2.55-2.57
In 0.9166 0.7476 0.7912  4 Br 2.55-2.57
Br 0.1948 0.4371 0.6098  1 In 2.55
Br 0.2124 0.2533 0.2944  1 In 2.55
Br 0.2147 0.0568 0.6167  1 In 2.57
Br 0.2229 0.2329 0.9103  1 In 2.55
Br 0.2771 0.7671 0.4103  1 In 2.55
Br 0.2853 0.9432 0.1167  1 In 2.57
Br 0.2876 0.7467 0.7944  1 In 2.55
Br 0.3052 0.5629 0.1098  1 In 2.55
Br 0.6948 0.0629 0.3902  1 In 2.55
Br 0.7124 0.2467 0.7056  1 In 2.55
Br 0.7147 0.4432 0.3833  1 In 2.57
Br 0.7229 0.2671 0.0897  1 In 2.55
Br 0.7771 0.7329 0.5897  1 In 2.55
Br 0.7853 0.5568 0.8833  1 In 2.57
Br 0.7876 0.7533 0.2056  1 In 2.55
Br 0.8052 0.9371 0.8902  1 In 2.55

=====

(7)
# Pr2PaGe3Rh4

A geometry-optimized Pr2PaGe3Rh4 structure (PBE, the Alexandria database).

Calculated values
The value obtained for the density of states at the Fermi level is 5.874 states/eV/f.u. As for the formation energy: -0.851 eV/atom. As for the electronic total energy: -70.83 eV for the cell shown. The value obtained for the total magnetization is 0.0 μB per formula unit. The space-group type is P-4m2 (115). The theoretical density comes out at 9.44 Mg/m³.

Cell lengths 4.2876, 4.2876, 10.9291 Å; angles 90.00, 90.00, 90.00 degrees
Closest atoms and distances in Å follow each position.
Element x y z (fractional)
Pr 0.0000 0.5000 0.2257  4 Ge 3.23, 8 Rh 3.27-3.33
Pr 0.5000 0.0000 0.7743  4 Ge 3.23, 8 Rh 3.27-3.33
Pa 0.0000 0.0000 0.5000  4 Rh 2.69
Ge 0.0000 0.5000 0.8773  5 Rh 2.51-2.53
Ge 0.5000 0.0000 0.1227  5 Rh 2.51-2.53
Ge 0.5000 0.5000 0.5000  4 Rh 2.69
Rh 0.0000 0.0000 0.0000  4 Ge 2.53
Rh 0.0000 0.5000 0.6479  3 Ge 2.51-2.69, 2 Pa 2.69
Rh 0.5000 0.0000 0.3521  3 Ge 2.51-2.69, 2 Pa 2.69
Rh 0.5000 0.5000 0.0000  4 Ge 2.53

=====

(8)
# MgSiAs2

A geometry-optimized MgSiAs2 structure (PBE, the Alexandria database).

Calculated values
The value obtained for the density of states at the Fermi level is 1.507 states/eV/f.u. As for the raw formation energy: -0.13 eV/atom. As for the electronic total energy: -16.83 eV for the cell shown. Its offset from the most stable computed form is 189 meV/atom. The value obtained for the total magnetization is 0.0 μB per formula unit. The space-group type is R-3m (166). The theoretical density comes out at 4.36 Mg/m³.

Cell lengths 6.9670, 6.9670, 6.9670 Å; angles 30.44, 30.44, 30.44 degrees
Closest atoms and distances in Å follow each position.
Element x y z (fractional)
Mg 0.0000 0.0000 0.0000  6 As 2.82
Si 0.5000 0.5000 0.5000  6 As 2.56
As 0.2395 0.2395 0.2395  3 Si 2.56, 3 Mg 2.82
As 0.7605 0.7605 0.7605  3 Si 2.56, 3 Mg 2.82

=====

(9)
# SrCaAg2

A geometry-optimized SrCaAg2 structure (PBE, the Alexandria database).

Calculated values
The value obtained for the density of states at the Fermi level is 2.358 states/eV/f.u. As for the formation energy: -0.157 eV/atom. As for the electronic total energy: -10.02 eV for the cell shown. The value obtained for the total magnetization is 0.0 μB per formula unit. The space-group type is P4mm (99). The theoretical density comes out at 4.78 Mg/m³.

Cell lengths 3.8335, 3.8335, 8.1109 Å; angles 90.00, 90.00, 90.00 degrees
Closest atoms and distances in Å follow each position.
Element x y z (fractional)
Sr 0.0000 0.0000 0.0000  5 Ag 3.27-3.32
Ca 0.5000 0.5000 0.6124  5 Ag 3.05-3.20
Ag 0.0000 0.0000 0.4037  4 Ag 3.03, 4 Ca 3.20, 1 Sr 3.27
Ag 0.5000 0.5000 0.2363  4 Ag 3.03, 1 Ca 3.05, 4 Sr 3.32

=====

(10)
# HgTeBr2

A geometry-optimized HgTeBr2 structure (PBE, the Alexandria database).

Calculated values
The value obtained for the density of states at the Fermi level is 2.426 states/eV/f.u. As for the raw formation energy: 0.15 eV/atom. As for the electronic total energy: -6.20 eV for the cell shown. Its offset from the most stable computed form is 357 meV/atom. The value obtained for the total magnetization is 0.0 μB per formula unit. The space-group type is R-3m (166). The theoretical density comes out at 6.71 Mg/m³.

Cell lengths 11.3589, 11.3589, 11.3589 Å; angles 17.89, 17.89, 17.89 degrees
Closest atoms and distances in Å follow each position.
Element x y z (fractional)
Hg 0.0000 0.0000 0.0000  2 Br 3.23, 6 Hg 3.53
Te 0.5000 0.5000 0.5000  6 Br 3.11
Br 0.0965 0.0965 0.0965  3 Te 3.11, 1 Hg 3.23
Br 0.9035 0.9035 0.9035  3 Te 3.11, 1 Hg 3.23